This record from Alexandria via LeMat-Bulk describes an optimized crystal structure of Mo2IrW. The functional is PBE.

The structure in extended XYZ format:
```
4
Lattice="-1.470 0.467 -2.249 -1.650 -2.073 0.648 -4.968 5.315 4.350" Properties=species:S:1:pos:R:3 pbc="T T T"
Ir -5.282 3.179 2.459
W -2.568 2.748 2.249
Mo -2.806 0.531 0.291
Mo -4.883 5.224 4.275
```

Density of states at the Fermi level, states/eV/f.u.: 2.65
VASP energy, eV per atom: -10.847

=====

This record from Alexandria via LeMat-Bulk describes an optimized crystal structure of MoIrW2. The functional is PBE.

The structure in extended XYZ format:
```
4
Lattice="4.917 -0.021 -0.098 1.805 4.573 0.098 -3.306 -2.358 2.788" Properties=species:S:1:pos:R:3 pbc="T T T"
W 0.930 2.246 1.443
Mo 2.486 -0.051 1.345
Ir 3.361 2.276 0.000
W 6.722 4.552 0.000
```

Density of states at the Fermi level, states/eV/f.u.: 3.93
VASP energy, eV per atom: -11.342

=====

This record from Alexandria via LeMat-Bulk describes an optimized crystal structure of MoIrW2. The functional is PBE.

The structure in extended XYZ format:
```
4
Lattice="-3.358 -2.902 -0.512 -2.007 -1.749 3.588 -4.175 1.209 1.035" Properties=species:S:1:pos:R:3 pbc="T T T"
W -2.385 -0.861 1.028
Ir -4.770 -1.721 2.056
W -7.155 -2.582 3.083
Mo 0.000 0.000 0.000
```

Density of states at the Fermi level, states/eV/f.u.: 6.75
VASP energy, eV per atom: -11.208

=====

This record from Alexandria via LeMat-Bulk describes an optimized crystal structure of MoIr2W. The functional is PBE.

The structure in extended XYZ format:
```
4
Lattice="-2.252 2.705 -3.292 0.326 -2.118 -4.317 -1.400 -1.661 4.297" Properties=species:S:1:pos:R:3 pbc="T T T"
Mo -0.963 0.294 -3.804
Ir -1.018 -1.743 -1.912
Ir 0.000 0.000 0.000
W -2.307 0.669 -1.400
```

Density of states at the Fermi level, states/eV/f.u.: 3.70
VASP energy, eV per atom: -10.548

=====

This record from Alexandria via LeMat-Bulk describes an optimized crystal structure of MoIr2W. The functional is PBE.

The structure in extended XYZ format:
```
4
Lattice="-0.704 -2.642 -5.556 -0.586 -2.539 4.046 -2.594 -0.611 -0.755" Properties=species:S:1:pos:R:3 pbc="T T T"
Ir 0.000 0.000 0.000
Ir -1.649 -1.627 -3.155
W -0.645 -2.591 -0.755
Mo -1.590 -1.575 1.646
```

Density of states at the Fermi level, states/eV/f.u.: 2.74
VASP energy, eV per atom: -10.668

=====

This record from Alexandria via LeMat-Bulk describes an optimized crystal structure of MoIrW2. The functional is PBE.

The structure in extended XYZ format:
```
4
Lattice="-0.227 -3.255 -3.008 1.568 -1.574 1.585 -3.746 -2.363 2.841" Properties=species:S:1:pos:R:3 pbc="T T T"
W -2.213 -3.888 4.376
W -1.053 -2.018 2.263
Mo -1.747 -4.581 1.816
Ir -0.658 -2.612 -0.397
```

Density of states at the Fermi level, states/eV/f.u.: 3.67
VASP energy, eV per atom: -11.327